# PBE with a Hubbard U TaCoO2, optimized geometry
data_TaCoO2
_chemical_formula_sum 'Ta1 Co1 O2'
_cell_length_a 3.817
_cell_length_b 3.817
_cell_length_c 3.817
_cell_angle_alpha 60.00
_cell_angle_beta 60.00
_cell_angle_gamma 60.00
_symmetry_space_group_name_H-M 'P 1'
_symmetry_Int_Tables_number 1
_symmetry_space_group_name_Hall 'P 1'
loop_
_atom_site_label
_atom_site_type_symbol
_atom_site_fract_x
_atom_site_fract_y
_atom_site_fract_z
Co1 Co 0.000 0.000 0.000
O1 O 0.250 0.250 0.250
O2 O 0.750 0.750 0.750
Ta1 Ta 0.500 0.500 0.500
# - size of the total moment (μB per cell) = 0.01
# - energy relative to the lowest polymorph listed for this composition (eV per atom) = 0.783